[1]
Below is CaHfMnTc2 after structural relaxation, with properties calculated at the PBE level.

Values from the calculation:
raw total energy	-7.765	eV/atom
energy of formation	0.606	eV/atom

Unit cell a=4.5962 b=4.6966 c=4.5962 alpha=90.00 beta=90.00 gamma=90.00
With the nearest neighbours (Å) after each atom.
Fractional positions:
Ca 0.5000 0.5000 0.5000  4 Hf 3.25, 8 Tc 3.29
Mn 0.0000 0.0000 0.0000  4 Tc 2.30, 2 Hf 2.35
Hf 0.0000 0.5000 0.0000  2 Mn 2.35
Tc 0.0000 0.0000 0.5000  2 Mn 2.30
Tc 0.5000 0.0000 0.0000  2 Mn 2.30

[2]
Below is Sc5Ir4 after structural relaxation, with properties calculated at the PBE level.

Values from the calculation:
energy relative to the lowest polymorph listed for this composition	0.0	meV per atom
raw total energy	-8.218	eV/atom
energy of formation	-0.762	eV/atom

Unit cell a=8.0494 b=8.0494 c=5.8084 alpha=90.00 beta=90.00 gamma=60.00
With the nearest neighbours (Å) after each atom.
Fractional positions:
Sc 0.2776 0.7224 0.2500  5 Ir 2.67-2.79
Sc 0.0000 0.2776 0.2500  5 Ir 2.67-2.79
Sc 0.7224 0.0000 0.2500  5 Ir 2.67-2.79
Sc 0.7224 0.2776 0.7500  5 Ir 2.67-2.79
Sc 0.0000 0.7224 0.7500  5 Ir 2.67-2.79
Sc 0.2776 0.0000 0.7500  5 Ir 2.67-2.79
Sc 0.3333 0.3333 0.0000  6 Ir 2.88, 2 Sc 2.90
Sc 0.6667 0.6667 0.5000  6 Ir 2.88, 2 Sc 2.90
Sc 0.6667 0.6667 0.0000  6 Ir 2.88, 2 Sc 2.90
Sc 0.3333 0.3333 0.5000  6 Ir 2.88, 2 Sc 2.90
Ir 0.0000 0.0000 0.0000  6 Sc 2.67, 2 Ir 2.90
Ir 0.0000 0.0000 0.5000  6 Sc 2.67, 2 Ir 2.90
Ir 0.6109 0.3891 0.2500  7 Sc 2.68-2.88
Ir 0.0000 0.6109 0.2500  7 Sc 2.68-2.88
Ir 0.3891 0.0000 0.2500  7 Sc 2.68-2.88
Ir 0.3891 0.6109 0.7500  7 Sc 2.68-2.88
Ir 0.0000 0.3891 0.7500  7 Sc 2.68-2.88
Ir 0.6109 0.0000 0.7500  7 Sc 2.68-2.88

[3]
Below is BaY3V after structural relaxation, with properties calculated at the PBE level.

Values from the calculation:
energy relative to the lowest polymorph listed for this composition	0.0	meV per atom
raw total energy	-5.716	eV/atom
energy of formation	0.371	eV/atom

Unit cell a=5.6336 b=5.6336 c=5.6336 alpha=90.00 beta=90.00 gamma=90.00
With the nearest neighbours (Å) after each atom.
Fractional positions:
Y 0.0000 0.5000 0.0000  2 V 2.82
Y 0.0000 0.0000 0.5000  2 V 2.82
Y 0.5000 0.0000 0.0000  2 V 2.82
Ba 0.5000 0.5000 0.5000  12 Y 3.98
V 0.0000 0.0000 0.0000  6 Y 2.82

[4]
Below is FeCu2PdN after structural relaxation, with properties calculated at the PBE level.

Values from the calculation:
raw total energy	-5.975	eV/atom

Unit cell a=3.9189 b=3.9189 c=3.8117 alpha=90.00 beta=90.00 gamma=90.00
With the nearest neighbours (Å) after each atom.
Fractional positions:
N 0.0000 0.0000 0.0000  2 Fe 1.91, 4 Cu 1.96
Cu 0.0000 0.5000 0.0000  2 N 1.96
Cu 0.5000 0.0000 0.0000  2 N 1.96
Pd 0.5000 0.5000 0.5000  8 Cu 2.73, 4 Fe 2.77
Fe 0.0000 0.0000 0.5000  2 N 1.91

Question: What is the raw total energy in the third record?
Answer: -5.716 eV/atom